# 1
Entry from Alexandria: Mg2OsRh after structural relaxation (PBEsol).

a = 2.908 Å, b = 4.703 Å, c = 5.189 Å
α = 116.95°, β = 106.27°, γ = 90.00°
Fractional coordinates of all 4 atoms:
Mg (0.243, 0.243, 0.486)
Mg (0.757, 0.757, 0.514)
Rh (0.500, 0.000, 0.000)
Os (0.000, 0.500, 0.000)

Output
N(E_F): 4.00 states/eV per cell
ΔE_f: 12.7 kJ/mol of atoms
Volume: 60 Å³ per cell
Symmetry: Immm

# 2
Entry from Alexandria: MgOs2Rh after structural relaxation (PBEsol).

a = 2.758 Å, b = 3.798 Å, c = 5.497 Å
α = 90.00°, β = 90.00°, γ = 90.00°
Fractional coordinates of all 4 atoms:
Os (0.000, 0.000, 0.024)
Os (0.500, 0.500, 0.231)
Mg (0.500, 0.500, 0.735)
Rh (0.000, 0.000, 0.510)

Output
N(E_F): 3.62 states/eV per cell
ΔE_f: 10.5 kJ/mol of atoms
Volume: 58 Å³ per cell
Symmetry: Pmm2

# 3
Entry from Alexandria: MgTl2OsRh after structural relaxation (PBEsol).

a = 4.701 Å, b = 5.131 Å, c = 5.131 Å
α = 90.00°, β = 90.00°, γ = 90.00°
Fractional coordinates of all 5 atoms:
Tl (0.000, 0.000, 0.500)
Tl (0.000, 0.500, 0.000)
Rh (0.000, 0.000, 0.000)
Os (0.500, 0.000, 0.000)
Mg (0.500, 0.500, 0.500)

Output
N(E_F): 4.61 states/eV per cell
ΔE_f: 96.3 kJ/mol of atoms
Volume: 124 Å³ per cell
Symmetry: P4/mmm

# 4
Entry from Alexandria: MgOsRu2 after structural relaxation (PBEsol).

a = 2.765 Å, b = 2.765 Å, c = 7.554 Å
α = 90.00°, β = 90.00°, γ = 90.00°
Fractional coordinates of all 4 atoms:
Mg (0.500, 0.500, 0.000)
Ru (0.000, 0.000, 0.267)
Ru (0.000, 0.000, 0.733)
Os (0.500, 0.500, 0.500)

Output
N(E_F): 4.61 states/eV per cell
ΔE_f: 15.0 kJ/mol of atoms
Volume: 58 Å³ per cell
Symmetry: P4/mmm

# 5
Entry from Alexandria: MgOsRu2 after structural relaxation (PBEsol).

a = 2.737 Å, b = 3.737 Å, c = 5.587 Å
α = 90.00°, β = 90.00°, γ = 90.00°
Fractional coordinates of all 4 atoms:
Mg (0.500, 0.500, 0.000)
Ru (0.000, 0.000, 0.735)
Ru (0.000, 0.000, 0.265)
Os (0.500, 0.500, 0.500)

Output
N(E_F): 3.73 states/eV per cell
ΔE_f: 22.4 kJ/mol of atoms
Volume: 57 Å³ per cell
Symmetry: Pmmm

# 6
Entry from Alexandria: MgOsRu2 after structural relaxation (PBEsol).

a = 2.919 Å, b = 4.398 Å, c = 5.105 Å
α = 115.51°, β = 106.61°, γ = 90.00°
Fractional coordinates of all 4 atoms:
Ru (0.999, 0.999, 0.997)
Ru (0.750, 0.250, 0.500)
Os (0.253, 0.753, 0.505)
Mg (0.499, 0.499, 0.997)

Output
N(E_F): 4.09 states/eV per cell
ΔE_f: 28.3 kJ/mol of atoms
Volume: 56 Å³ per cell
Symmetry: Imm2

Copy entry 4 word for word.
Entry from Alexandria: MgOsRu2 after structural relaxation (PBEsol).

a = 2.765 Å, b = 2.765 Å, c = 7.554 Å
α = 90.00°, β = 90.00°, γ = 90.00°
Fractional coordinates of all 4 atoms:
Mg (0.500, 0.500, 0.000)
Ru (0.000, 0.000, 0.267)
Ru (0.000, 0.000, 0.733)
Os (0.500, 0.500, 0.500)

Output
N(E_F): 4.61 states/eV per cell
ΔE_f: 15.0 kJ/mol of atoms
Volume: 58 Å³ per cell
Symmetry: P4/mmm

volume of number 2 (MgOs2Rh)?
58 Å³ per cell

What is the ΔE_f in the fifth record?
22.4 kJ/mol of atoms

What is the N(E_F) in the fifth record?
3.73 states/eV per cell